The following is a DFT calculation (GGA-PBE) of BeFeSnOs after structural relaxation.

a = 4.258 Å, b = 4.258 Å, c = 4.258 Å
α = 60.00°, β = 60.00°, γ = 60.00°
Fractional coordinates of all 4 atoms:
Be (0.500, 0.500, 0.500)
Fe (0.750, 0.750, 0.750)
Os (0.250, 0.250, 0.250)
Sn (0.000, 0.000, 0.000)

Calculated values
For the total energy, the calculation gives -6.529 eV/atom. The value obtained for the energy above the most stable polymorph in this dataset is 0.0 meV per atom.